MnBe2V | PBE-GGA | optimized geometry

space-group type: No. 225
crystal system: cubic

a b c (Å): 3.884 3.884 3.884
angles (deg): 60.00 60.00 60.00
Atoms (fractional coordinates):
1 Mn 0.000 0.000 0.000
2 Be 0.250 0.250 0.250
3 Be 0.750 0.750 0.750
4 V 0.500 0.500 0.500

***

MnBeV | PBE-GGA | optimized geometry

space-group type: No. 107
crystal system: tetragonal

a b c (Å): 4.290 4.290 4.290
angles (deg): 140.07 140.07 57.75
Atoms (fractional coordinates):
1 Mn 0.000 0.000 0.000
2 Be 0.658 0.658 0.000
3 V 0.333 0.333 0.000

***

MnBe4V | PBE-GGA | optimized geometry

space-group type: No. 216
crystal system: cubic

a b c (Å): 4.247 4.247 4.247
angles (deg): 60.00 60.00 60.00
Atoms (fractional coordinates):
1 Mn 0.000 0.000 0.000
2 Be 0.124 0.625 0.625
3 Be 0.625 0.124 0.625
4 Be 0.625 0.625 0.124
5 Be 0.625 0.625 0.625
6 V 0.250 0.250 0.250

***

MnBe3V | PBE-GGA | optimized geometry

space-group type: No. 221
crystal system: cubic

a b c (Å): 4.141 4.141 4.141
angles (deg): 90.00 90.00 90.00
Atoms (fractional coordinates):
1 Mn 0.000 0.000 0.000
2 Be 0.000 0.500 0.500
3 Be 0.500 0.000 0.500
4 Be 0.500 0.500 0.000
5 V 0.500 0.500 0.500

***

MnBe2V | PBE-GGA | optimized geometry

space-group type: No. 123
crystal system: tetragonal

a b c (Å): 3.320 3.320 3.685
angles (deg): 90.00 90.00 90.00
Atoms (fractional coordinates):
1 Mn 0.000 0.000 0.000
2 Be 0.000 0.500 0.500
3 Be 0.500 0.000 0.500
4 V 0.500 0.500 0.000

***

Mn2BeV | PBE-GGA | optimized geometry

space-group type: No. 123
crystal system: tetragonal

a b c (Å): 3.861 3.861 2.980
angles (deg): 90.00 90.00 90.00
Atoms (fractional coordinates):
1 Mn 0.000 0.500 0.000
2 Mn 0.500 0.000 0.000
3 Be 0.000 0.000 0.500
4 V 0.500 0.500 0.500

***

MnBe3V | PBE-GGA | optimized geometry

space-group type: No. 221
crystal system: cubic

a b c (Å): 3.872 3.872 3.872
angles (deg): 90.00 90.00 90.00
Atoms (fractional coordinates):
1 Mn 0.000 0.000 0.000
2 Be 0.000 0.000 0.500
3 Be 0.000 0.500 0.000
4 Be 0.500 0.000 0.000
5 V 0.500 0.500 0.500

***

Mn4BeV3 | PBE-GGA | optimized geometry

space-group type: No. 123
crystal system: tetragonal

a b c (Å): 2.877 2.877 11.010
angles (deg): 90.00 90.00 90.00
Atoms (fractional coordinates):
1 Mn 0.000 0.000 0.111
2 Mn 0.000 0.000 0.370
3 Mn 0.000 0.000 0.630
4 Mn 0.000 0.000 0.889
5 Be 0.500 0.500 0.000
6 V 0.500 0.500 0.236
7 V 0.500 0.500 0.500
8 V 0.500 0.500 0.764

***

Mn3BeV | PBE-GGA | optimized geometry

space-group type: No. 221
crystal system: cubic

a b c (Å): 3.981 3.981 3.981
angles (deg): 90.00 90.00 90.00
Atoms (fractional coordinates):
1 Mn 0.000 0.000 0.500
2 Mn 0.000 0.500 0.000
3 Mn 0.500 0.000 0.000
4 Be 0.000 0.000 0.000
5 V 0.500 0.500 0.500

***

MnBeV | PBE-GGA | optimized geometry

space-group type: No. 156
crystal system: trigonal

a b c (Å): 3.938 3.938 2.414
angles (deg): 90.00 90.00 120.00
Atoms (fractional coordinates):
1 Mn 0.000 0.000 0.000
2 Be 0.667 0.333 0.666
3 V 0.333 0.667 0.282

***

MnBeV | PBE-GGA | optimized geometry

space-group type: No. 129
crystal system: tetragonal

a b c (Å): 3.250 3.250 6.274
angles (deg): 90.00 90.00 90.00
Atoms (fractional coordinates):
1 Mn 0.250 0.250 0.229
2 Mn 0.750 0.750 0.771
3 Be 0.250 0.750 0.500
4 Be 0.750 0.250 0.500
5 V 0.250 0.250 0.836
6 V 0.750 0.750 0.164

***

Mn5BeV4 | PBE-GGA | optimized geometry

space-group type: No. 123
crystal system: tetragonal

a b c (Å): 2.874 2.874 13.889
angles (deg): 90.00 90.00 90.00
Atoms (fractional coordinates):
1 Mn 0.000 0.000 0.000
2 Mn 0.000 0.000 0.206
3 Mn 0.000 0.000 0.412
4 Mn 0.000 0.000 0.588
5 Mn 0.000 0.000 0.794
6 Be 0.500 0.500 0.500
7 V 0.500 0.500 0.104
8 V 0.500 0.500 0.312
9 V 0.500 0.500 0.688
10 V 0.500 0.500 0.896

***

Computed values of volume (unit: Å³/f.u.) for the preceding records, in sequence: 41.4 32.3 54.2 71.0 40.6 44.4 58.0 91.1 63.1 32.4 33.1 114.7.
Computed values of energy of formation from the pure elements (unit: eV/atom) for the preceding records, in sequence: -0.039 -0.145 -0.320 1.384 -0.083 -0.159 0.783 -0.208 0.519 -0.118 0.098 -0.219.
Computed values of E (unit: eV per atom) for the preceding records, in sequence: -6.474 -7.483 -5.852 -4.509 -6.518 -7.954 -5.111 -8.678 -7.552 -7.456 -7.240 -8.824.